Entry from the Alexandria database: a relaxed Rb3TlV2F9 crystal (PBE with a Hubbard U).

Cell and atoms, written as CIF:
```
data_Rb3TlV2F9
_chemical_formula_sum 'Rb3 Tl1 V2 F9'
_symmetry_space_group_name_H-M 'P -3 m 1'
_symmetry_Int_Tables_number 164
_symmetry_space_group_name_Hall '-P 3 2"'
_cell_length_a 6.1656
_cell_length_b 6.1656
_cell_length_c 8.2920
_cell_angle_alpha 90.00
_cell_angle_beta 90.00
_cell_angle_gamma 120.00
loop_
_atom_site_label
_atom_site_fract_x
_atom_site_fract_y
_atom_site_fract_z
Rb1 0.0000 0.0000 0.0000
Rb2 0.3333 0.6667 0.6936
Tl1 0.0000 0.0000 0.5000
V1 0.3333 0.6667 0.1397
F1 0.0000 0.5000 0.0000
F2 0.1796 0.3593 0.2765
```

Raw total energy (eV per atom): -5.113